DFT (PBE) results for Ti3HgH after structural relaxation.

The structure belongs to space group R-3 (No. 148, hexagonal axes); the cell edges are 5.2439, 5.2439 and 20.4025 Å and the angles 90.00°, 90.00° and 120.00°. Symmetry generates all atoms from Ti at (0.0029, 0.6576, 0.2805), Hg at (0.0000, 0.0000, 0.1678) and H at (0.0000, 0.0000, 0.3341).

The polymorph energy (0 for the lowest one) is 0.210 eV per atom. The crystal system is trigonal. The value obtained for the calculated volume is 485.9 Å³ per cell.